Entry from Alexandria via LeMat-Bulk: crystalline CrCo2Re at its relaxed geometry (GGA-PBEsol).

extended XYZ file:
```
4
Lattice="3.5337 0.0000 0.0000 0.0000 3.5337 0.0000 0.0000 0.0000 3.6284" Properties=species:S:1:pos:R:3 pbc="T T T"
Co 1.7669 0.0000 0.0000
Co 0.0000 1.7669 0.0000
Re 0.0000 0.0000 1.8142
Cr 1.7669 1.7669 1.8142
```

- calculated total energy (eV/atom) = -9.7705
- energy of formation from the pure elements (eV/atom) = -0.008
- total moment (μB/f.u.) = 0.156
- space-group type = No. 123